Entry 1:
PrTm3Mg3: optimized geometry, PBE.

Values from the calculation:
crystal system	monoclinic
energy of formation from the pure elements	-0.002	eV/atom
SG	P2_1/m, No. 11
total energy	-46.0	eV per cell

a b c (Å): 9.118 5.501 9.125
angles (deg): 90.00 119.95 90.00
Element x y z (fractional)
Pr 0.167 0.250 0.333
Pr 0.833 0.750 0.667
Tm 0.264 0.750 0.800
Tm 0.300 0.250 0.035
Tm 0.464 0.250 0.764
Tm 0.536 0.750 0.236
Tm 0.700 0.750 0.965
Tm 0.736 0.250 0.200
Mg 0.027 0.250 0.617
Mg 0.117 0.750 0.090
Mg 0.409 0.750 0.527
Mg 0.591 0.250 0.473
Mg 0.883 0.250 0.910
Mg 0.973 0.750 0.383

Entry 2:
SmDyBeAg: optimized geometry, PBE.

Values from the calculation:
crystal system	cubic
energy of formation from the pure elements	-0.034	eV/atom
SG	F-43m, No. 216
total energy	-16.0	eV per cell

a b c (Å): 5.070 5.070 5.070
angles (deg): 60.00 60.00 60.00
Element x y z (fractional)
Sm 0.000 0.000 0.000
Dy 0.500 0.500 0.500
Be 0.750 0.750 0.750
Ag 0.250 0.250 0.250

Entry 3:
GaTc6B2: optimized geometry, PBE.

Values from the calculation:
crystal system	orthorhombic
energy of formation from the pure elements	-0.170	eV/atom
SG	Immm, No. 71
total energy	-160.2	eV per cell

a b c (Å): 6.656 6.656 6.656
angles (deg): 113.40 110.64 104.50
Element x y z (fractional)
Ga 0.000 0.000 0.000
Ga 0.500 0.500 0.000
Tc 0.050 0.243 0.807
Tc 0.189 0.298 0.486
Tc 0.189 0.702 0.891
Tc 0.325 0.019 0.694
Tc 0.325 0.630 0.306
Tc 0.436 0.243 0.193
Tc 0.564 0.757 0.807
Tc 0.675 0.370 0.694
Tc 0.675 0.981 0.306
Tc 0.811 0.298 0.109
Tc 0.811 0.702 0.514
Tc 0.950 0.757 0.193
B 0.117 0.617 0.500
B 0.342 0.000 0.342
B 0.658 0.000 0.658
B 0.883 0.383 0.500

Entry 4:
CaCuOs4: optimized geometry, PBE.

Values from the calculation:
crystal system	cubic
energy of formation from the pure elements	0.540	eV/atom
SG	F-43m, No. 216
total energy	-47.8	eV per cell

a b c (Å): 5.236 5.236 5.236
angles (deg): 60.00 60.00 60.00
Element x y z (fractional)
Ca 0.000 0.000 0.000
Cu 0.750 0.750 0.750
Os 0.375 0.375 0.375
Os 0.375 0.375 0.874
Os 0.375 0.874 0.375
Os 0.874 0.375 0.375

Entry 5:
CaMgPt2: optimized geometry, PBE.

Values from the calculation:
crystal system	monoclinic
energy of formation from the pure elements	-0.700	eV/atom
SG	Cm, No. 8
total energy	-18.5	eV per cell

a b c (Å): 5.428 5.428 4.913
angles (deg): 103.06 103.06 32.39
Element x y z (fractional)
Ca 0.000 0.000 0.000
Mg 0.798 0.798 0.376
Pt 0.249 0.249 0.850
Pt 0.537 0.537 0.513

Entry 6:
RbSrAsBr2: optimized geometry, PBE.

Values from the calculation:
crystal system	tetragonal
distance to the lowest polymorph of the same formula	653	meV per atom
SG	P4/mmm, No. 123
total energy	-12.8	eV per cell

a b c (Å): 6.009 6.009 5.857
angles (deg): 90.00 90.00 90.00
Element x y z (fractional)
Rb 0.000 0.000 0.000
Sr 0.500 0.500 0.500
As 0.000 0.000 0.500
Br 0.000 0.500 0.000
Br 0.500 0.000 0.000

Entry 7:
CePaGe4: optimized geometry, PBE.

Values from the calculation:
crystal system	cubic
energy of formation from the pure elements	-0.263	eV/atom
SG	F-43m, No. 216
total energy	-35.5	eV per cell

a b c (Å): 5.562 5.562 5.562
angles (deg): 60.00 60.00 60.00
Element x y z (fractional)
Ce 0.000 0.000 0.000
Pa 0.750 0.750 0.750
Ge 0.375 0.375 0.375
Ge 0.375 0.375 0.874
Ge 0.375 0.874 0.375
Ge 0.874 0.375 0.375

Entry 8:
Mg2TeAs: optimized geometry, PBE.

Values from the calculation:
crystal system	tetragonal
distance to the lowest polymorph of the same formula	310	meV per atom
SG	P4/mmm, No. 123
total energy	-11.9	eV per cell

a b c (Å): 5.224 5.224 3.322
angles (deg): 90.00 90.00 90.00
Element x y z (fractional)
Mg 0.000 0.500 0.000
Mg 0.500 0.000 0.000
Te 0.000 0.000 0.500
As 0.500 0.500 0.500

Entry 9:
HgAs2Ru: optimized geometry, PBE.

Values from the calculation:
crystal system	tetragonal
energy of formation from the pure elements	0.523	eV/atom
SG	P4/mmm, No. 123
total energy	-16.8	eV per cell

a b c (Å): 4.555 4.555 3.455
angles (deg): 90.00 90.00 90.00
Element x y z (fractional)
Hg 0.000 0.000 0.000
As 0.000 0.500 0.500
As 0.500 0.000 0.500
Ru 0.500 0.500 0.000

Entry 10:
Sm2Er8Cd: optimized geometry, PBE.

Values from the calculation:
crystal system	monoclinic
energy of formation from the pure elements	0.187	eV/atom
SG	C2/m, No. 12
total energy	-44.8	eV per cell

a b c (Å): 8.438 8.438 6.365
angles (deg): 104.64 104.64 53.75
Element x y z (fractional)
Sm 0.117 0.117 0.479
Sm 0.883 0.883 0.521
Er 0.223 0.223 0.085
Er 0.237 0.638 0.227
Er 0.352 0.352 0.698
Er 0.362 0.763 0.773
Er 0.638 0.237 0.227
Er 0.648 0.648 0.302
Er 0.763 0.362 0.773
Er 0.777 0.777 0.915
Cd 0.000 0.000 0.000

Entry 11:
LaNi2Pt: optimized geometry, PBE.

Values from the calculation:
crystal system	trigonal
energy of formation from the pure elements	0.405	eV/atom
SG	R-3m, No. 166
total energy	-20.9	eV per cell

a b c (Å): 9.187 9.187 9.187
angles (deg): 18.49 18.49 18.49
Element x y z (fractional)
La 0.000 0.000 0.000
Ni 0.240 0.240 0.240
Ni 0.760 0.760 0.760
Pt 0.500 0.500 0.500

Entry 12:
LiSn: optimized geometry, PBE.

Values from the calculation:
crystal system	hexagonal
energy of formation from the pure elements	-0.273	eV/atom
SG	P-62m, No. 189
total energy	-19.4	eV per cell

a b c (Å): 6.917 6.917 3.372
angles (deg): 90.00 90.00 120.00
Element x y z (fractional)
Li 0.000 0.588 0.000
Li 0.412 0.412 0.000
Li 0.588 0.000 0.000
Sn 0.000 0.249 0.500
Sn 0.249 0.000 0.500
Sn 0.751 0.751 0.500

Entry 13:
LiSbC3: optimized geometry, PBE.

Values from the calculation:
crystal system	cubic
distance to the lowest polymorph of the same formula	84	meV per atom
SG	Pm-3m, No. 221
total energy	-20.3	eV per cell

a b c (Å): 3.846 3.846 3.846
angles (deg): 90.00 90.00 90.00
Element x y z (fractional)
Li 0.000 0.000 0.000
Sb 0.500 0.500 0.500
C 0.000 0.000 0.500
C 0.000 0.500 0.000
C 0.500 0.000 0.000

Entry 14:
TbPm5Tm4: optimized geometry, PBE.

Values from the calculation:
crystal system	monoclinic
energy of formation from the pure elements	0.037	eV/atom
distance to the lowest polymorph of the same formula	18	meV per atom
SG	C2/m, No. 12
total energy	-45.9	eV per cell

a b c (Å): 8.692 8.692 11.419
angles (deg): 108.41 108.41 23.51
Element x y z (fractional)
Tb 0.000 0.000 0.000
Pm 0.000 0.000 0.500
Pm 0.289 0.289 0.383
Pm 0.312 0.312 0.924
Pm 0.688 0.688 0.076
Pm 0.711 0.711 0.617
Tm 0.104 0.104 0.797
Tm 0.418 0.418 0.710
Tm 0.582 0.582 0.290
Tm 0.896 0.896 0.203

Entry 15:
RbBaY3: optimized geometry, PBE.

Values from the calculation:
crystal system	cubic
energy of formation from the pure elements	0.957	eV/atom
distance to the lowest polymorph of the same formula	0	meV per atom
SG	Pm-3m, No. 221
total energy	-17.5	eV per cell

a b c (Å): 6.079 6.079 6.079
angles (deg): 90.00 90.00 90.00
Element x y z (fractional)
Rb 0.000 0.000 0.000
Ba 0.500 0.500 0.500
Y 0.000 0.500 0.500
Y 0.500 0.000 0.500
Y 0.500 0.500 0.000

Entry 16:
MnBe2In: optimized geometry, PBE.

Values from the calculation:
crystal system	orthorhombic
energy of formation from the pure elements	0.280	eV/atom
SG	Amm2, No. 38
total energy	-18.2	eV per cell

a b c (Å): 3.746 5.003 5.003
angles (deg): 33.23 90.00 90.00
Element x y z (fractional)
Mn 0.000 0.000 0.000
Be 0.000 0.701 0.701
Be 0.500 0.582 0.582
In 0.500 0.322 0.322

Entry 17:
SrLiH3: optimized geometry, PBE.

Values from the calculation:
crystal system	orthorhombic
distance to the lowest polymorph of the same formula	153	meV per atom
SG	Pnma, No. 62
total energy	-62.1	eV per cell

a b c (Å): 5.743 8.879 5.731
angles (deg): 90.00 90.00 90.00
Element x y z (fractional)
Sr 0.000 0.000 0.000
Sr 0.000 0.500 0.000
Sr 0.500 0.000 0.500
Sr 0.500 0.500 0.500
Li 0.018 0.250 0.476
Li 0.482 0.750 0.976
Li 0.518 0.250 0.024
Li 0.982 0.750 0.524
H 0.137 0.095 0.636
H 0.137 0.405 0.636
H 0.203 0.250 0.179
H 0.297 0.750 0.679
H 0.363 0.595 0.136
H 0.363 0.905 0.136
H 0.637 0.095 0.864
H 0.637 0.405 0.864
H 0.703 0.250 0.321
H 0.797 0.750 0.821
H 0.863 0.595 0.364
H 0.863 0.905 0.364

Entry 18:
HfAg2Br: optimized geometry, PBE.

Values from the calculation:
crystal system	tetragonal
distance to the lowest polymorph of the same formula	0	meV per atom
SG	I-42d, No. 122
total energy	-32.9	eV per cell

a b c (Å): 6.320 6.320 6.320
angles (deg): 100.72 100.72 128.89
Element x y z (fractional)
Hf 0.000 0.000 0.000
Hf 0.750 0.250 0.500
Ag 0.116 0.625 0.991
Ag 0.375 0.366 0.491
Ag 0.634 0.125 0.009
Ag 0.875 0.884 0.509
Br 0.250 0.750 0.500
Br 0.500 0.500 0.000

Entry 19:
LiSn2Rh: optimized geometry, PBE.

Values from the calculation:
crystal system	tetragonal
energy of formation from the pure elements	-0.340	eV/atom
SG	P4/mmm, No. 123
total energy	-18.6	eV per cell

a b c (Å): 3.289 3.289 7.308
angles (deg): 90.00 90.00 90.00
Element x y z (fractional)
Li 0.000 0.000 0.000
Sn 0.500 0.500 0.279
Sn 0.500 0.500 0.721
Rh 0.000 0.000 0.500

Entry 20:
YTaSb2: optimized geometry, PBE.

Values from the calculation:
crystal system	tetragonal
distance to the lowest polymorph of the same formula	592	meV per atom
SG	I-42d, No. 122
total energy	-50.9	eV per cell

a b c (Å): 8.096 8.096 8.096
angles (deg): 131.89 131.89 70.40
Element x y z (fractional)
Y 0.000 0.000 0.000
Y 0.750 0.250 0.500
Ta 0.250 0.750 0.500
Ta 0.500 0.500 0.000
Sb 0.166 0.625 0.041
Sb 0.375 0.416 0.541
Sb 0.584 0.125 0.959
Sb 0.875 0.834 0.459